Arrangement 1

{
  "formula": "YW2Br",
  "functional": "GGA-PBE",
  "state": "relaxed",
  "sg": "Pmmm",
  "rho_g_cm3": 10.6,
  "lattice_angstrom": [[3.055, 0.000, 0.000], [0.000, 5.010, 0.000], [0.000, 0.000, 5.484]],
  "species": ["Y", "W", "W", "Br"],
  "fractional_positions": [[0.000, 0.000, 0.000], [0.500, 0.500, 0.221], [0.500, 0.500, 0.779], [0.000, 0.000, 0.500]]
}



Arrangement 2

{
  "formula": "YW2Br",
  "functional": "GGA-PBE",
  "state": "relaxed",
  "sg": "Fm-3m",
  "rho_g_cm3": 11.6,
  "lattice_angstrom": [[0.000, 3.375, 3.375], [3.375, 0.000, 3.375], [3.375, 3.375, 0.000]],
  "species": ["Y", "W", "W", "Br"],
  "fractional_positions": [[0.000, 0.000, 0.000], [0.250, 0.250, 0.250], [0.750, 0.750, 0.750], [0.500, 0.500, 0.500]]
}



Energies in meV/atom, measured from the most stable structure: arrangement 1 0; arrangement 2 661.



Arrangement 1

{
  "formula": "YW2Br",
  "functional": "GGA-PBE",
  "state": "relaxed",
  "sg": "C2/m",
  "rho_g_cm3": 10.5,
  "lattice_angstrom": [[6.022, -1.668, 0.000], [6.022, 1.668, 0.000], [-1.240, 0.000, 4.215]],
  "species": ["Y", "W", "W", "Br"],
  "fractional_positions": [[0.000, 0.000, 0.000], [0.271, 0.271, 0.224], [0.729, 0.729, 0.776], [0.500, 0.500, 0.500]]
}



Arrangement 2

{
  "formula": "YW2Br",
  "functional": "GGA-PBE",
  "state": "relaxed",
  "sg": "Cmm2",
  "rho_g_cm3": 10.4,
  "lattice_angstrom": [[1.726, -2.635, 0.000], [1.726, 2.635, 0.000], [0.000, 0.000, 9.405]],
  "species": ["Y", "W", "W", "Br"],
  "fractional_positions": [[0.000, 0.000, 0.000], [0.000, 0.000, 0.547], [0.500, 0.500, 0.740], [0.500, 0.500, 0.239]]
}



Energies in meV/atom, measured from the most stable structure: arrangement 1 135; arrangement 2 0.



Arrangement 1

{
  "formula": "Y3WBr",
  "functional": "GGA-PBE",
  "state": "relaxed",
  "sg": "Pm-3m",
  "rho_g_cm3": 6.2,
  "lattice_angstrom": [[5.204, 0.000, 0.000], [0.000, 5.204, 0.000], [0.000, 0.000, 5.204]],
  "species": ["Y", "Y", "Y", "W", "Br"],
  "fractional_positions": [[0.000, 0.000, 0.500], [0.000, 0.500, 0.000], [0.500, 0.000, 0.000], [0.500, 0.500, 0.500], [0.000, 0.000, 0.000]]
}



Arrangement 2

{
  "formula": "Y3WBr",
  "functional": "GGA-PBE",
  "state": "relaxed",
  "sg": "Pm-3m",
  "rho_g_cm3": 5.3,
  "lattice_angstrom": [[5.505, 0.000, 0.000], [0.000, 5.505, 0.000], [0.000, 0.000, 5.505]],
  "species": ["Y", "Y", "Y", "W", "Br"],
  "fractional_positions": [[0.000, 0.000, 0.500], [0.000, 0.500, 0.000], [0.500, 0.000, 0.000], [0.000, 0.000, 0.000], [0.500, 0.500, 0.500]]
}



Energies in meV/atom, measured from the most stable structure: arrangement 1 241; arrangement 2 0.



Arrangement 1

{
  "formula": "YWBr",
  "functional": "GGA-PBE",
  "state": "relaxed",
  "sg": "Fmm2",
  "rho_g_cm3": 7.7,
  "lattice_angstrom": [[0.000, 2.419, 7.844], [2.011, 0.000, 7.844], [2.011, 2.419, 0.000]],
  "species": ["Y", "W", "Br"],
  "fractional_positions": [[0.000, 0.000, 0.000], [0.362, 0.362, 0.638], [0.631, 0.631, 0.369]]
}



Arrangement 2

{
  "formula": "YWBr",
  "functional": "GGA-PBE",
  "state": "relaxed",
  "sg": "P-6m2",
  "rho_g_cm3": 9.3,
  "lattice_angstrom": [[4.823, 0.000, 0.000], [-2.412, 4.177, 0.000], [0.000, 0.000, 3.136]],
  "species": ["Y", "W", "Br"],
  "fractional_positions": [[0.000, 0.000, 0.000], [0.667, 0.333, 0.500], [0.333, 0.667, 0.500]]
}



Energies in meV/atom, measured from the most stable structure: arrangement 1 0; arrangement 2 110.



Arrangement 1

{
  "formula": "YWBr",
  "functional": "GGA-PBE",
  "state": "relaxed",
  "sg": "P3m1",
  "rho_g_cm3": 8.0,
  "lattice_angstrom": [[3.330, 0.000, 0.000], [-1.665, 2.884, 0.000], [0.000, 0.000, 7.644]],
  "species": ["Y", "W", "Br"],
  "fractional_positions": [[0.000, 0.000, 0.000], [0.333, 0.667, 0.700], [0.667, 0.333, 0.279]]
}



Arrangement 2

{
  "formula": "YWBr",
  "functional": "GGA-PBE",
  "state": "relaxed",
  "sg": "F-43m",
  "rho_g_cm3": 8.3,
  "lattice_angstrom": [[0.000, 3.278, 3.278], [3.278, 0.000, 3.278], [3.278, 3.278, 0.000]],
  "species": ["Y", "W", "Br"],
  "fractional_positions": [[0.000, 0.000, 0.000], [0.500, 0.500, 0.500], [0.750, 0.750, 0.750]]
}



Energies in meV/atom, measured from the most stable structure: arrangement 1 0; arrangement 2 626.



Arrangement 1

{
  "formula": "YWBr3",
  "functional": "GGA-PBE",
  "state": "relaxed",
  "sg": "Pm-3m",
  "rho_g_cm3": 4.9,
  "lattice_angstrom": [[5.593, 0.000, 0.000], [0.000, 5.593, 0.000], [0.000, 0.000, 5.593]],
  "species": ["Y", "W", "Br", "Br", "Br"],
  "fractional_positions": [[0.000, 0.000, 0.000], [0.500, 0.500, 0.500], [0.000, 0.000, 0.500], [0.000, 0.500, 0.000], [0.500, 0.000, 0.000]]
}



Arrangement 2

{
  "formula": "YWBr3",
  "functional": "GGA-PBE",
  "state": "relaxed",
  "sg": "Pm-3m",
  "rho_g_cm3": 6.2,
  "lattice_angstrom": [[5.168, 0.000, 0.000], [0.000, 5.168, 0.000], [0.000, 0.000, 5.168]],
  "species": ["Y", "W", "Br", "Br", "Br"],
  "fractional_positions": [[0.000, 0.000, 0.000], [0.500, 0.500, 0.500], [0.000, 0.500, 0.500], [0.500, 0.000, 0.500], [0.500, 0.500, 0.000]]
}



Energies in meV/atom, measured from the most stable structure: arrangement 1 0; arrangement 2 279.



Arrangement 1

{
  "formula": "ZnW2Br",
  "functional": "GGA-PBE",
  "state": "relaxed",
  "sg": "I4/mmm",
  "rho_g_cm3": 12.3,
  "lattice_angstrom": [[-1.929, 1.929, 4.655], [1.929, -1.929, 4.655], [1.929, 1.929, -4.655]],
  "species": ["Zn", "W", "W", "Br"],
  "fractional_positions": [[0.000, 0.000, 0.000], [0.250, 0.750, 0.500], [0.750, 0.250, 0.500], [0.500, 0.500, 0.000]]
}



Arrangement 2

{
  "formula": "ZnW2Br",
  "functional": "GGA-PBE",
  "state": "relaxed",
  "sg": "Imm2",
  "rho_g_cm3": 10.1,
  "lattice_angstrom": [[-1.587, 2.191, 6.077], [1.587, -2.191, 6.077], [1.587, 2.191, -6.077]],
  "species": ["Zn", "W", "W", "Br"],
  "fractional_positions": [[0.000, 0.000, 0.000], [0.467, 0.467, 0.000], [0.620, 0.120, 0.500], [0.265, 0.765, 0.500]]
}



Arrangement 3

{
  "formula": "ZnW2Br",
  "functional": "GGA-PBE",
  "state": "relaxed",
  "sg": "Pmmm",
  "rho_g_cm3": 12.4,
  "lattice_angstrom": [[2.968, 0.000, 0.000], [0.000, 4.799, 0.000], [0.000, 0.000, 4.818]],
  "species": ["Zn", "W", "W", "Br"],
  "fractional_positions": [[0.000, 0.000, 0.000], [0.000, 0.500, 0.500], [0.500, 0.500, 0.000], [0.500, 0.000, 0.500]]
}



Arrangement 4

{
  "formula": "ZnW2Br",
  "functional": "GGA-PBE",
  "state": "relaxed",
  "sg": "Cmmm",
  "rho_g_cm3": 12.5,
  "lattice_angstrom": [[2.706, -4.428, 0.000], [2.706, 4.428, 0.000], [0.000, 0.000, 2.842]],
  "species": ["Zn", "W", "W", "Br"],
  "fractional_positions": [[0.000, 0.000, 0.000], [0.000, 0.500, 0.500], [0.500, 0.000, 0.500], [0.500, 0.500, 0.000]]
}



Energies in meV/atom, measured from the most stable structure: arrangement 1 503; arrangement 2 0; arrangement 3 214; arrangement 4 451.



Arrangement 1

{
  "formula": "ZnW2Br",
  "functional": "GGA-PBE",
  "state": "relaxed",
  "sg": "C2/m",
  "rho_g_cm3": 12.7,
  "lattice_angstrom": [[4.744, -1.490, 0.000], [4.744, 1.490, 0.000], [-0.982, 0.000, 4.740]],
  "species": ["Zn", "W", "W", "Br"],
  "fractional_positions": [[0.000, 0.000, 0.000], [0.253, 0.253, 0.760], [0.747, 0.747, 0.240], [0.500, 0.500, 0.500]]
}



Arrangement 2

{
  "formula": "ZnW2Br",
  "functional": "GGA-PBE",
  "state": "relaxed",
  "sg": "Cmmm",
  "rho_g_cm3": 12.3,
  "lattice_angstrom": [[1.426, -2.602, 0.000], [1.426, 2.602, 0.000], [0.000, 0.000, 9.335]],
  "species": ["Zn", "W", "W", "Br"],
  "fractional_positions": [[0.000, 0.000, 0.000], [0.500, 0.500, 0.246], [0.500, 0.500, 0.754], [0.000, 0.000, 0.500]]
}



Arrangement 3

{
  "formula": "ZnW2Br",
  "functional": "GGA-PBE",
  "state": "relaxed",
  "sg": "Cm",
  "rho_g_cm3": 12.7,
  "lattice_angstrom": [[4.835, -1.456, 0.000], [4.835, 1.456, 0.000], [-1.405, 0.000, 4.775]],
  "species": ["Zn", "W", "W", "Br"],
  "fractional_positions": [[0.000, 0.000, 0.000], [0.251, 0.251, 0.816], [0.502, 0.502, 0.532], [0.767, 0.767, 0.270]]
}



Energies in meV/atom, measured from the most stable structure: arrangement 1 0; arrangement 2 100; arrangement 3 77.